Computed, not measured: a geometry-optimized BeB structure at the PBE-GGA level of DFT.

a b c (Å): 2.5915 9.4879 10.6797
angles (deg): 90.00 90.00 90.00
Space group Fddd (No. 70, origin choice 2)
Inequivalent atoms, fractional coordinates:
1 Be 0.1250 0.1250 0.2935 x16
2 B 0.1250 0.0408 0.1250 x16

Properties
The energy relative to the elements comes out at 388 meV/atom. The crystal system is orthorhombic. The calculation puts the energy relative to the lowest polymorph listed for this composition at 357 meV/atom.